A geometry-optimized Ac3Al2N6 structure. Source: the Alexandria database, functional PBE.

Summary:
electronic total energy: -0.5306 Ry per atom
total magnetization: 0.00 μB/cell
N(E_F): 8.151 states/eV/cell
mass density: 8.190 g cm⁻³
formation energy from raw total energies: -877.0 meV per atom

Lattice parameters (Å, degrees): 11.2081 11.2081 11.2081 159.91 159.91 28.56
Last column: nearest neighbours and their distance in Å.
Fractional positions:
Ac1 0.0000 0.0000 0.0000  8 N 2.70
Ac2 0.1824 0.1824 0.0000  9 N 2.67-2.87
Ac3 0.8176 0.8176 0.0000  9 N 2.67-2.87
Al1 0.3948 0.3948 0.0000  5 N 1.94-2.00
Al2 0.6052 0.6052 0.0000  5 N 1.94-2.00
N1 0.0856 0.5856 0.5000  2 Al 2.00
N2 0.3053 0.3053 0.0000  1 Al 1.94
N3 0.4144 0.9144 0.5000  2 Al 2.00
N4 0.5856 0.0856 0.5000  2 Al 2.00
N5 0.6947 0.6947 0.0000  1 Al 1.94
N6 0.9144 0.4144 0.5000  2 Al 2.00